# CdTe3Rh

A geometry-optimized CdTe3Rh structure (PBE, Alexandria via LeMat-Bulk).

The total energy is -16.356 eV/f.u. The energy relative to the elements, uncorrected is 0.27 eV per atom.

Unit cell a=5.263 b=5.263 c=5.263 alpha=90.00 beta=90.00 gamma=90.00
Positions (direct):
Cd1 0.000 0.000 0.000
Te1 0.000 0.500 0.500
Te2 0.500 0.000 0.500
Te3 0.500 0.500 0.000
Rh1 0.500 0.500 0.500